Here is a relaxed structure of ScZnH from Alexandria via LeMat-Bulk. Energies are from PBE.

a b c (Å): 3.261 3.261 7.445
angles (deg): 90.00 90.00 90.00
Fractional coordinates of all 6 atoms:
Sc 0.250 0.250 0.160
Sc 0.750 0.750 0.840
Zn 0.250 0.250 0.590
Zn 0.750 0.750 0.410
H 0.250 0.750 0.000
H 0.750 0.250 0.000

Results
Offset from the most stable computed form = 0.00 kcal/mol of atoms
V = 13.198 Å³/atom
Total DFT energy (no corrections) = -24.747 eV/cell